# 1
Entry from Alexandria: a relaxed Pm5P4I crystal (GGA-PBE).

a = 7.292 Å, b = 7.292 Å, c = 10.424 Å
α = 118.64°, β = 118.64°, γ = 33.17°
Sites, in units of the cell vectors:
1 Pm 0.000 0.000 0.000
2 Pm 0.211 0.211 0.825
3 Pm 0.385 0.385 0.622
4 Pm 0.615 0.615 0.378
5 Pm 0.789 0.789 0.175
6 P 0.209 0.209 0.298
7 P 0.406 0.406 0.107
8 P 0.594 0.594 0.893
9 P 0.791 0.791 0.702
10 I 0.000 0.000 0.500

Summary:
For the formation energy (no corrections), the calculation gives -14.9 eV/f.u. The space group is C2/m, No. 12. The total energy is -6.18 eV/atom.

# 2
Entry from Alexandria: a relaxed Pm6P3I2 crystal (GGA-PBE).

a = 7.211 Å, b = 7.211 Å, c = 7.731 Å
α = 99.04°, β = 99.04°, γ = 119.97°
Sites, in units of the cell vectors:
1 Pm 0.098 0.425 0.796
2 Pm 0.227 0.227 0.198
3 Pm 0.425 0.098 0.796
4 Pm 0.575 0.902 0.204
5 Pm 0.773 0.773 0.802
6 Pm 0.902 0.575 0.204
7 P 0.172 0.828 0.000
8 P 0.500 0.500 0.000
9 P 0.828 0.172 0.000
10 I 0.335 0.665 0.500
11 I 0.665 0.335 0.500

Summary:
For the formation energy (no corrections), the calculation gives -13.6 eV/f.u. The space group is C2/m, No. 12. The total energy is -5.59 eV/atom.

# 3
Entry from Alexandria: a relaxed Pm6PPt2I3 crystal (GGA-PBE).

a = 7.414 Å, b = 7.414 Å, c = 8.175 Å
α = 98.69°, β = 98.69°, γ = 119.79°
Sites, in units of the cell vectors:
1 Pm 0.097 0.437 0.812
2 Pm 0.223 0.223 0.188
3 Pm 0.437 0.097 0.812
4 Pm 0.563 0.903 0.188
5 Pm 0.777 0.777 0.812
6 Pm 0.903 0.563 0.188
7 P 0.500 0.500 0.000
8 Pt 0.167 0.833 0.000
9 Pt 0.833 0.167 0.000
10 I 0.000 0.000 0.500
11 I 0.337 0.663 0.500
12 I 0.663 0.337 0.500

Summary:
For the formation energy (no corrections), the calculation gives -13.8 eV/f.u. The space group is C2/m, No. 12. The total energy is -5.37 eV/atom.